The following is a GGA-PBE calculation of crystalline BaUB2O8 at its relaxed geometry, from Alexandria via LeMat-Bulk.

Geometry as POSCAR:
```
BaUB2O8
1.0
5.026 -0.016 -0.055
2.304 4.467 -0.055
0.264 0.161 7.880
Ba U B O
1 1 2 8
Cartesian
0.132 0.080 3.940
0.000 0.000 0.000
4.785 2.905 1.673
2.809 1.705 6.098
4.130 1.093 6.331
5.757 3.495 0.697
5.159 3.132 3.038
2.435 1.479 4.733
1.837 1.115 7.074
2.875 3.160 6.331
4.719 1.451 1.440
3.464 3.518 1.440
```

Summary:
- Magnetic moment: 2.046 Bohr magnetons per cell
- Crystal system: monoclinic
- DOS at the Fermi energy: 6.8 states/eV/f.u.
- Formation energy from raw total energies: -2.385 eV per atom